No. 1
! CsYSiSe4, relaxed, DFT PBE; values from VASP
&SYSTEM
  ibrav = 0, nat = 14, ntyp = 4
/
ATOMIC_SPECIES
Se 78.96 Se.upf
Cs 132.91 Cs.upf
Y 88.91 Y.upf
Si 28.09 Si.upf
CELL_PARAMETERS angstrom
6.6837 0.0000 -0.1895
0.0000 7.0703 0.0000
-2.8751 0.0000 9.4093
ATOMIC_POSITIONS crystal
Se 0.5855 0.2500 0.8110
Se 0.9888 0.0025 0.3031
Se 0.9888 0.4975 0.3031
Se 0.0112 0.9975 0.6969
Se 0.4302 0.7500 0.5713
Se 0.5698 0.2500 0.4287
Se 0.0112 0.5025 0.6969
Se 0.4145 0.7500 0.1890
Cs 0.7431 0.7500 0.9394
Cs 0.2569 0.2500 0.0606
Y 0.7727 0.7500 0.4531
Y 0.2273 0.2500 0.5469
Si 0.7818 0.2500 0.6606
Si 0.2182 0.7500 0.3394
! * total DFT energy (no corrections): -5.06 eV/atom
! * SG: No. 11
! * DOS(E_F): 0.00 states/eV/f.u.

No. 2
! LaNi2Ru, relaxed, DFT PBE; values from VASP
&SYSTEM
  ibrav = 0, nat = 4, ntyp = 3
/
ATOMIC_SPECIES
Ni 58.69 Ni.upf
Ru 101.07 Ru.upf
La 138.91 La.upf
CELL_PARAMETERS angstrom
-2.9871 2.1196 2.6500
-4.4319 -0.6112 -0.6505
-2.4228 -2.3517 3.0063
ATOMIC_POSITIONS crystal
Ni 0.2500 0.2500 0.2500
Ni 0.0000 0.0000 0.0000
Ru 0.7500 0.7500 0.7500
La 0.5000 0.5000 0.5000
! * SG: No. 216
! * E_form: 0.200 eV per atom
! * DOS(E_F): 5.60 states/eV/f.u.

No. 3
! MnAg2Mo, relaxed, DFT PBE; values from VASP
&SYSTEM
  ibrav = 0, nat = 4, ntyp = 3
/
ATOMIC_SPECIES
Ag 107.87 Ag.upf
Mo 95.94 Mo.upf
Mn 54.94 Mn.upf
CELL_PARAMETERS angstrom
5.1877 0.1355 0.0000
-2.4682 4.5649 0.0000
0.0000 0.0000 2.7108
ATOMIC_POSITIONS crystal
Ag 0.5000 0.5000 0.0000
Ag 0.0000 0.0000 0.0000
Mo 0.0000 0.5000 0.5000
Mn 0.5000 0.0000 0.5000
! * SG: No. 65
! * E_form: 0.539 eV per atom
! * DOS(E_F): 4.10 states/eV/f.u.

No. 4
! TbMgRu, relaxed, DFT PBE; values from VASP
&SYSTEM
  ibrav = 0, nat = 6, ntyp = 3
/
ATOMIC_SPECIES
Mg 24.30 Mg.upf
Tb 158.93 Tb.upf
Ru 101.07 Ru.upf
CELL_PARAMETERS angstrom
4.1952 0.0000 1.1034
1.8540 5.1008 1.4778
0.5833 -0.0610 6.3092
ATOMIC_POSITIONS crystal
Mg 0.8092 0.7986 0.5830
Mg 0.1908 0.2014 0.4170
Tb 0.4184 0.3207 0.8424
Tb 0.5816 0.6793 0.1576
Ru 0.1409 0.8768 0.8415
Ru 0.8591 0.1232 0.1585
! * SG: No. 12
! * E_form: -0.222 eV per atom
! * DOS(E_F): 1.90 states/eV/f.u.